(1)
A plane-wave DFT calculation with PBE was carried out for a geometry-optimized YMg2 structure.

Space group: P4/mmm, No. 123

abc: 5.4932 5.4932 3.4892
angles: 90.00 90.00 90.00
Last column: nearest neighbours and their distance in Å.
Fractional positions:
1 Mg 0.0000 0.5000 0.5000  4 Y 3.25, 2 Mg 3.49
2 Mg 0.5000 0.0000 0.5000  4 Y 3.25, 2 Mg 3.49
3 Y 0.0000 0.0000 0.0000  8 Mg 3.25, 2 Y 3.49


(2)
A plane-wave DFT calculation with PBE was carried out for a geometry-optimized Ce2HoAg2Pb2 structure.

Space group: R-3m, No. 166

abc: 4.8291 4.8291 9.3569
angles: 75.05 75.05 60.00
Last column: nearest neighbours and their distance in Å.
Fractional positions:
1 Ce 0.1440 0.1440 0.5681  3 Ce 3.04, 3 Ag 3.06
2 Ce 0.8560 0.8560 0.4319  3 Ce 3.04, 3 Ag 3.06
3 Ho 0.0000 0.0000 0.0000  6 Pb 3.24
4 Ag 0.5697 0.5697 0.2910  3 Pb 2.95, 3 Ce 3.06
5 Ag 0.4303 0.4303 0.7090  3 Pb 2.95, 3 Ce 3.06
6 Pb 0.7279 0.7279 0.8163  3 Ag 2.95, 3 Ho 3.24
7 Pb 0.2721 0.2721 0.1837  3 Ag 2.95, 3 Ho 3.24


E_tot: -2.855 -4.419 (eV per atom)
V: 35.10 25.77 (A^3/atom)